Record 1
First-principles (PBE) data for AcPm6Y2 after structural relaxation, as listed in Alexandria via LeMat-Bulk.

**N(E_F)**: 50.3 states/eV/cell
**Mass density**: 6.763 Mg/m³
**Energy above the most stable polymorph in this dataset**: 0 meV/atom
**Size of the total moment**: 0.0 μB/f.u.
**Formation energy**: 0.057 eV per atom

Lattice parameters (Å, degrees): 5.816 10.030 21.462 90.00 90.00 90.00
Space group Ibam (No. 72)
One atom of each set of equivalent atoms:
Ac1 0.000 0.000 0.250 (multiplicity 4)
Pm1 0.000 0.000 0.081 (multiplicity 8)
Pm2 0.001 0.333 0.163 (multiplicity 16)
Y1 0.002 0.333 0.500 (multiplicity 8)

Record 2
First-principles (PBE) data for CsF2 after structural relaxation, as listed in Alexandria via LeMat-Bulk.

**N(E_F)**: 6.8 states/eV/cell
**Mass density**: 4.478 Mg/m³
**Energy above the most stable polymorph in this dataset**: 346 meV/atom
**Raw formation energy**: -1545 meV/atom
**Size of the total moment**: 1.0 μB/f.u.

Lattice parameters (Å, degrees): 7.974 7.974 7.974 90.00 90.00 90.00
Space group Fd-3m (No. 227, origin choice 2)
One atom of each set of equivalent atoms:
Cs1 0.125 0.125 0.125 (multiplicity 8)
F1 0.000 0.000 0.500 (multiplicity 16)

Record 3
First-principles (PBE) data for CsPaIn after structural relaxation, as listed in Alexandria via LeMat-Bulk.

**N(E_F)**: 18.8 states/eV/cell
**Mass density**: 5.652 Mg/m³
**Size of the total moment**: 0.0 μB/f.u.
**Formation energy**: 0.237 eV per atom

Lattice parameters (Å, degrees): 10.367 4.117 13.432 90.00 101.08 90.00
Space group C2/m (No. 12)
One atom of each set of equivalent atoms:
Cs1 0.171 0.000 0.181 (multiplicity 4)
Pa1 0.162 0.500 0.471 (multiplicity 4)
In1 0.075 0.000 0.629 (multiplicity 4)

Record 4
First-principles (PBE) data for InGe3O after structural relaxation, as listed in Alexandria via LeMat-Bulk.

**N(E_F)**: 4.1 states/eV/cell
**Mass density**: 3.990 Mg/m³
**Energy above the most stable polymorph in this dataset**: 1312 meV/atom
**Raw formation energy**: 1269 meV/atom
**Size of the total moment**: 1.0 μB/f.u.

Lattice parameters (Å, degrees): 5.255 5.255 5.255 90.00 90.00 90.00
Space group Pm-3m (No. 221)
One atom of each set of equivalent atoms:
In1 0.000 0.000 0.000 (multiplicity 1)
Ge1 0.000 0.000 0.500 (multiplicity 3)
O1 0.500 0.500 0.500 (multiplicity 1)

Record 5
First-principles (PBE) data for V2InN after structural relaxation, as listed in Alexandria via LeMat-Bulk.

**N(E_F)**: 12.0 states/eV/cell
**Mass density**: 5.482 Mg/m³
**Raw formation energy**: 11 meV/atom
**Size of the total moment**: 0.0 μB/f.u.

Lattice parameters (Å, degrees): 5.161 5.161 10.493 90.00 90.00 90.00
Space group I-42d (No. 122)
One atom of each set of equivalent atoms:
V1 0.043 0.250 0.125 (multiplicity 8)
In1 0.000 0.000 0.500 (multiplicity 4)
N1 0.000 0.000 0.000 (multiplicity 4)

Record 6
First-principles (PBE) data for ZrBeAg2H after structural relaxation, as listed in Alexandria via LeMat-Bulk.

**N(E_F)**: 4.0 states/eV/cell
**Mass density**: 5.774 Mg/m³
**Size of the total moment**: 0.0 μB/f.u.

Lattice parameters (Å, degrees): 4.329 4.329 4.864 90.00 90.00 90.00
Space group P4/mmm (No. 123)
One atom of each set of equivalent atoms:
Zr1 0.000 0.000 0.000 (multiplicity 1)
Be1 0.000 0.000 0.500 (multiplicity 1)
Ag1 0.000 0.500 0.500 (multiplicity 2)
H1 0.500 0.500 0.000 (multiplicity 1)

Per-record electronic total energy, eV per atom: -5.003, -3.077, -4.126, -3.040, -7.314, -3.460